(1)
{
  "formula": "Fe2HRuAu",
  "functional": "PBE-GGA",
  "state": "relaxed",
  "final_energy_ev_per_atom": -6.43,
  "magnetic_moment_mub_per_cell": 6.6,
  "lattice_angstrom": [[-0.073, -3.919, 0.441], [3.939, -0.051, 0.197], [-0.181, 0.425, 3.745]],
  "species": ["H", "Ru", "Fe", "Fe", "Au"],
  "fractional_positions": [[0.000, 0.000, 0.000], [0.000, 0.000, 0.500], [0.500, 0.000, 0.000], [0.000, 0.500, 0.000], [0.500, 0.500, 0.500]]
}

(2)
{
  "formula": "TaFe2HAu",
  "functional": "PBE-GGA",
  "state": "relaxed",
  "final_energy_ev_per_atom": -7.03,
  "magnetic_moment_mub_per_cell": 2.0,
  "lattice_angstrom": [[-0.834, 1.797, 3.359], [-3.067, -2.356, 0.498], [2.242, -2.516, 1.903]],
  "species": ["Au", "Fe", "Fe", "Ta", "H"],
  "fractional_positions": [[0.500, 0.500, 0.500], [0.500, 0.000, 0.000], [0.000, 0.500, 0.000], [0.000, 0.000, 0.500], [0.000, 0.000, 0.000]]
}

(3)
{
  "formula": "FeTeH2Au",
  "functional": "PBE-GGA",
  "state": "relaxed",
  "final_energy_ev_per_atom": -3.75,
  "magnetic_moment_mub_per_cell": 3.6,
  "lattice_angstrom": [[-3.456, -1.106, -1.173], [-0.639, -2.949, 4.662], [-1.552, 3.037, 1.708]],
  "species": ["H", "H", "Au", "Fe", "Te"],
  "fractional_positions": [[0.000, 0.000, 0.500], [0.500, 0.000, 0.000], [0.000, 0.500, 0.000], [0.000, 0.000, 0.000], [0.500, 0.500, 0.500]]
}

(4)
{
  "formula": "Ti2FeHAu",
  "functional": "PBE-GGA",
  "state": "relaxed",
  "final_energy_ev_per_atom": -6.46,
  "magnetic_moment_mub_per_cell": 0.6,
  "lattice_angstrom": [[4.174, 0.000, 0.000], [0.000, 4.174, 0.000], [0.000, 0.000, 3.629]],
  "species": ["Ti", "Ti", "Fe", "H", "Au"],
  "fractional_positions": [[0.000, 0.500, 0.000], [0.500, 0.000, 0.000], [0.000, 0.000, 0.500], [0.000, 0.000, 0.000], [0.500, 0.500, 0.500]]
}

(5)
{
  "formula": "VFe2HAu",
  "functional": "PBE-GGA",
  "state": "relaxed",
  "final_energy_ev_per_atom": -6.52,
  "magnetic_moment_mub_per_cell": 2.1,
  "lattice_angstrom": [[-2.953, 2.036, 1.276], [-1.378, 0.221, -3.542], [-1.997, -3.256, 0.574]],
  "species": ["Au", "V", "H", "Fe", "Fe"],
  "fractional_positions": [[0.500, 0.500, 0.500], [0.000, 0.000, 0.500], [0.000, 0.000, 0.000], [0.500, 0.000, 0.000], [0.000, 0.500, 0.000]]
}

(6)
{
  "formula": "Zn2FeHAu",
  "functional": "PBE-GGA",
  "state": "relaxed",
  "final_energy_ev_per_atom": -3.48,
  "magnetic_moment_mub_per_cell": 2.2,
  "lattice_angstrom": [[-0.635, -2.536, -3.235], [4.036, 0.233, -0.976], [0.653, -2.764, 2.038]],
  "species": ["Fe", "Zn", "Zn", "H", "Au"],
  "fractional_positions": [[0.000, 0.000, 0.500], [0.500, 0.000, 0.000], [0.000, 0.500, 0.000], [0.000, 0.000, 0.000], [0.500, 0.500, 0.500]]
}

(7)
{
  "formula": "HfFeAu3",
  "functional": "PBE-GGA",
  "state": "relaxed",
  "final_energy_ev_per_atom": -5.00,
  "delta_e_f_kj_per_mol_atoms": 63,
  "magnetic_moment_mub_per_cell": 3.0,
  "polymorph_energy_kj_per_mol_atoms": 0.00,
  "lattice_angstrom": [[4.739, 0.000, 0.000], [0.000, 4.739, 0.000], [0.000, 0.000, 4.739]],
  "species": ["Au", "Au", "Au", "Fe", "Hf"],
  "fractional_positions": [[0.000, 0.000, 0.500], [0.500, 0.000, 0.000], [0.000, 0.500, 0.000], [0.000, 0.000, 0.000], [0.500, 0.500, 0.500]]
}

(8)
{
  "formula": "Hf12Fe6Au",
  "functional": "PBE-GGA",
  "state": "relaxed",
  "final_energy_ev_per_atom": -9.32,
  "delta_e_f_kj_per_mol_atoms": -18,
  "magnetic_moment_mub_per_cell": 2.8,
  "lattice_angstrom": [[7.244, 0.000, -2.561], [-3.622, 6.273, -2.561], [0.000, 0.000, 7.683]],
  "species": ["Hf", "Hf", "Hf", "Hf", "Hf", "Hf", "Hf", "Hf", "Hf", "Hf", "Hf", "Hf", "Fe", "Fe", "Fe", "Fe", "Fe", "Fe", "Au"],
  "fractional_positions": [[0.807, 0.708, 0.515], [0.193, 0.708, 0.901], [0.292, 0.099, 0.807], [0.099, 0.807, 0.292], [0.193, 0.292, 0.485], [0.292, 0.485, 0.193], [0.515, 0.807, 0.708], [0.901, 0.193, 0.708], [0.708, 0.515, 0.807], [0.807, 0.292, 0.099], [0.485, 0.193, 0.292], [0.708, 0.901, 0.193], [0.623, 0.500, 0.123], [0.377, 0.500, 0.877], [0.500, 0.877, 0.377], [0.877, 0.377, 0.500], [0.500, 0.123, 0.623], [0.123, 0.623, 0.500], [0.000, 0.000, 0.000]]
}

Calculated volume in order - 58.7; 58.9; 80.8; 63.2; 56.0; 60.5; 106.4; 349.1 Å³ per cell